No. 1
# La4TlGe

A relaxed La4TlGe crystal (PBE-GGA, the Alexandria database).

Output
- Excess energy over the best structure of this formula in the dataset: 21 meV/atom
- SG: C2/c (15)
- Energy of formation from the pure elements: -0.431 eV per atom

The structure in POSCAR format:
```
La4TlGe
1.0
-2.796 3.329 4.558
-2.756 -8.699 0.455
8.144 1.213 1.862
La Tl Ge
8 2 2
direct
0.069 0.212 0.838
0.772 0.704 0.636
0.269 0.626 0.838
0.363 0.932 0.636
0.637 0.068 0.364
0.731 0.374 0.162
0.228 0.296 0.364
0.931 0.788 0.162
0.370 0.620 0.240
0.630 0.380 0.760
0.252 0.002 0.004
0.748 0.998 0.996
```

No. 2
# BaSr3F8

A relaxed BaSr3F8 crystal (PBE-GGA, the Alexandria database).

Output
- SG: Pm-3m (221)
- Energy relative to the elements, uncorrected: -3.922 eV per atom

The structure in POSCAR format:
```
BaSr3F8
1.0
-5.792 -1.064 -0.947
1.378 -3.187 -4.850
0.359 -4.928 3.340
Ba Sr F
1 3 8
direct
0.000 0.000 0.000
0.500 0.500 0.000
0.500 0.000 0.500
0.000 0.500 0.500
0.257 0.257 0.743
0.257 0.743 0.257
0.743 0.257 0.257
0.743 0.743 0.743
0.743 0.743 0.257
0.743 0.257 0.743
0.257 0.743 0.743
0.257 0.257 0.257
```

No. 3
# BaMgAg2Hg4

A relaxed BaMgAg2Hg4 crystal (PBE-GGA, the Alexandria database).

Output
- SG: R-3m (166)
- Energy of formation from the pure elements: -0.204 eV per atom

The structure in POSCAR format:
```
BaMgAg2Hg4
1.0
-0.182 -4.863 0.432
4.112 -2.547 0.692
0.228 -1.560 10.160
Ba Mg Ag Hg
1 1 2 4
direct
0.000 0.000 0.000
0.500 0.500 0.500
0.767 0.767 0.699
0.233 0.233 0.301
0.399 0.399 0.802
0.870 0.870 0.390
0.130 0.130 0.610
0.601 0.601 0.198
```

No. 4
# Sr2MnV

A relaxed Sr2MnV crystal (PBE-GGA, the Alexandria database).

Output
- Excess energy over the best structure of this formula in the dataset: 0 meV/atom
- SG: Fm-3m (225)
- Energy of formation from the pure elements: 0.864 eV per atom

The structure in POSCAR format:
```
Sr2MnV
1.0
-3.781 2.006 3.618
-3.805 3.742 -1.711
-5.384 -1.488 -0.460
Sr Mn V
2 1 1
direct
0.250 0.250 0.250
0.750 0.750 0.750
0.500 0.500 0.500
0.000 0.000 0.000
```

No. 5
# CeNd7Ho4

A relaxed CeNd7Ho4 crystal (PBE-GGA, the Alexandria database).

Output
- SG: C2/m (12)
- Energy of formation from the pure elements: 0.142 eV per atom

The structure in POSCAR format:
```
CeNd7Ho4
1.0
5.389 -1.450 2.317
0.506 6.455 2.864
1.484 -1.408 11.652
Ce Nd Ho
1 7 4
direct
0.000 0.000 0.000
0.825 0.537 0.927
0.175 0.463 0.073
0.125 0.186 0.627
0.875 0.814 0.373
0.166 0.712 0.577
0.500 0.000 0.000
0.834 0.288 0.423
0.483 0.597 0.272
0.517 0.403 0.728
0.517 0.870 0.728
0.483 0.130 0.272
```

No. 6
# Ho2ThSc

A relaxed Ho2ThSc crystal (PBE-GGA, the Alexandria database).

Output
- Excess energy over the best structure of this formula in the dataset: 0 meV/atom
- SG: R3m (160)
- Energy of formation from the pure elements: 0.028 eV per atom

The structure in POSCAR format:
```
Ho2ThSc
1.0
-3.481 -0.372 -0.337
-1.882 -1.391 2.625
-3.285 9.549 5.059
Ho Th Sc
2 1 1
direct
0.085 0.085 0.744
0.248 0.248 0.256
0.666 0.666 0.002
0.501 0.501 0.498
```

No. 7
# KCe2C

A relaxed KCe2C crystal (PBE-GGA, the Alexandria database).

Output
- SG: R-3m (166)
- Energy of formation from the pure elements: 0.053 eV per atom

The structure in POSCAR format:
```
KCe2C
1.0
-0.920 -3.177 1.417
0.280 -2.997 -1.970
9.981 -3.431 3.355
K C Ce
1 1 2
direct
0.000 0.000 0.000
0.500 0.500 0.500
0.124 0.124 0.628
0.876 0.876 0.372
```

No. 8
# MnBeMo

A relaxed MnBeMo crystal (PBE-GGA, the Alexandria database).

Output
- Excess energy over the best structure of this formula in the dataset: 215 meV/atom
- SG: Fmm2 (42)
- Energy of formation from the pure elements: 0.069 eV per atom

The structure in POSCAR format:
```
MnBeMo
1.0
-0.636 1.387 -5.331
-1.976 -0.856 -5.097
-2.229 1.384 -0.031
Be Mo Mn
1 1 1
direct
0.990 0.990 0.010
0.657 0.657 0.343
0.354 0.354 0.646
```

No. 9
# TaOsBr

A relaxed TaOsBr crystal (PBE-GGA, the Alexandria database).

Output
- Excess energy over the best structure of this formula in the dataset: 840 meV/atom
- SG: F-43m (216)
- Energy relative to the elements, uncorrected: 0.955 eV per atom

The structure in POSCAR format:
```
TaOsBr
1.0
4.419 0.000 0.000
2.209 3.827 0.000
2.209 1.276 3.608
Os Br Ta
1 1 1
direct
0.500 0.500 0.500
0.000 0.000 0.000
0.750 0.750 0.750
```

No. 10
# Er4Zn3Pt

A relaxed Er4Zn3Pt crystal (PBE-GGA, the Alexandria database).

Output
- SG: P4/mmm (123)
- Energy of formation from the pure elements: -0.597 eV per atom

The structure in POSCAR format:
```
Er4Zn3Pt
1.0
-0.070 -0.035 -3.535
2.569 -2.430 -0.027
-9.546 -10.094 0.287
Zn Pt Er
3 1 4
direct
0.500 0.500 0.250
0.500 0.500 0.500
0.500 0.500 0.750
0.500 0.500 0.000
0.000 0.000 0.881
0.000 0.000 0.119
0.000 0.000 0.373
0.000 0.000 0.627
```

No. 11
# MgTl2Re

A relaxed MgTl2Re crystal (PBE-GGA, the Alexandria database).

Output
- Excess energy over the best structure of this formula in the dataset: 24 meV/atom
- SG: P4mm (99)
- Energy of formation from the pure elements: 0.612 eV per atom

The structure in POSCAR format:
```
MgTl2Re
1.0
3.036 0.000 0.000
0.000 3.036 0.000
0.000 0.000 9.645
Mg Re Tl
1 1 2
direct
0.000 0.000 0.540
0.500 0.500 0.729
0.000 0.000 0.960
0.500 0.500 0.270
```

No. 12
# PuGaHgSb

A relaxed PuGaHgSb crystal (PBE-GGA, the Alexandria database).

Output
- Excess energy over the best structure of this formula in the dataset: 182 meV/atom
- SG: F-43m (216)
- Energy relative to the elements, uncorrected: -0.154 eV per atom

The structure in POSCAR format:
```
PuGaHgSb
1.0
-5.107 -0.365 -1.145
-1.557 -0.216 -5.005
-1.938 -4.467 -1.954
Sb Hg Ga Pu
1 1 1 1
direct
0.500 0.500 0.500
0.000 0.000 0.000
0.250 0.250 0.250
0.750 0.750 0.750
```

No. 13
# Ho3PS2

A relaxed Ho3PS2 crystal (PBE-GGA, the Alexandria database).

Output
- SG: Immm (71)
- Energy relative to the elements, uncorrected: -1.917 eV per atom

The structure in POSCAR format:
```
Ho3PS2
1.0
3.915 0.000 0.000
0.000 5.529 0.000
-1.958 -2.765 5.908
Ho P S
3 1 2
direct
0.838 0.338 0.177
0.162 0.662 0.823
0.500 0.000 0.500
0.500 0.500 0.500
0.832 0.832 0.164
0.168 0.168 0.836
```

No. 14
# ZrMo2Br

A relaxed ZrMo2Br crystal (PBE-GGA, the Alexandria database).

Output
- Excess energy over the best structure of this formula in the dataset: 210 meV/atom
- SG: Pm (6)
- Energy relative to the elements, uncorrected: 0.324 eV per atom

The structure in POSCAR format:
```
ZrMo2Br
1.0
4.214 0.000 0.000
0.000 3.085 -0.012
0.000 0.954 5.741
Mo Br Zr
2 1 1
direct
0.000 0.906 0.045
0.500 0.156 0.236
0.500 0.943 0.710
0.000 0.495 0.510
```

No. 15
# MnOs3

A relaxed MnOs3 crystal (PBE-GGA, the Alexandria database).

Output
- SG: Imm2 (44)
- Energy of formation from the pure elements: 0.000 eV per atom

The structure in POSCAR format:
```
MnOs3
1.0
4.677 0.000 0.000
-2.339 4.480 -0.001
0.000 0.824 2.588
Mn Os
1 3
direct
0.002 0.000 0.000
0.081 0.494 0.253
0.497 0.000 0.500
0.587 0.506 0.747
```

No. 16
# Pr4TlCd5

A relaxed Pr4TlCd5 crystal (PBE-GGA, the Alexandria database).

Output
- SG: C2/m (12)
- Energy of formation from the pure elements: -0.319 eV per atom

The structure in POSCAR format:
```
Pr4TlCd5
1.0
-4.992 -1.663 -0.302
1.212 -4.521 4.859
-0.010 7.647 4.046
Pr Tl Cd
4 1 5
direct
0.690 0.326 0.379
0.097 0.867 0.194
0.310 0.674 0.621
0.903 0.133 0.806
0.500 0.000 0.000
0.290 0.171 0.580
0.095 0.396 0.191
0.905 0.604 0.809
0.500 0.500 0.000
0.710 0.829 0.420
```

No. 17
# Tm4CdAu

A relaxed Tm4CdAu crystal (PBE-GGA, the Alexandria database).

Output
- Excess energy over the best structure of this formula in the dataset: 0 meV/atom
- SG: F-43m (216)
- Energy of formation from the pure elements: -0.437 eV per atom

The structure in POSCAR format:
```
Tm4CdAu
1.0
8.344 0.000 4.817
2.781 7.867 4.817
0.000 0.000 9.635
Tm Cd Au
16 4 4
direct
0.390 0.390 0.390
0.829 0.390 0.390
0.390 0.829 0.390
0.390 0.390 0.829
0.562 0.562 0.938
0.938 0.938 0.562
0.562 0.938 0.562
0.938 0.562 0.938
0.938 0.562 0.562
0.562 0.938 0.938
0.184 0.184 0.816
0.816 0.816 0.184
0.184 0.816 0.184
0.816 0.184 0.816
0.816 0.184 0.184
0.184 0.816 0.816
0.167 0.167 0.167
0.500 0.167 0.167
0.167 0.500 0.167
0.167 0.167 0.500
0.603 0.603 0.603
0.191 0.603 0.603
0.603 0.191 0.603
0.603 0.603 0.191
```

No. 18
# RbGd2Dy

A relaxed RbGd2Dy crystal (PBE-GGA, the Alexandria database).

Output
- SG: R-3m (166)
- Energy of formation from the pure elements: 0.275 eV per atom

The structure in POSCAR format:
```
RbGd2Dy
1.0
3.642 0.000 0.000
1.821 3.154 0.000
1.821 1.051 13.350
Gd Rb Dy
2 1 1
direct
0.097 0.097 0.710
0.903 0.903 0.290
0.000 0.000 0.000
0.500 0.500 0.500
```

No. 19
# NdSmIn4

A relaxed NdSmIn4 crystal (PBE-GGA, the Alexandria database).

Output
- Excess energy over the best structure of this formula in the dataset: 0 meV/atom
- SG: F-43m (216)
- Energy of formation from the pure elements: -0.415 eV per atom

The structure in POSCAR format:
```
NdSmIn4
1.0
-4.675 -2.126 -3.237
0.777 -4.755 -3.692
-2.471 -5.365 1.400
Nd Sm In
1 1 4
direct
0.250 0.250 0.250
0.000 0.000 0.000
0.625 0.625 0.125
0.625 0.125 0.625
0.625 0.625 0.625
0.125 0.625 0.625
```

No. 20
# Ba2NdI2O2

A relaxed Ba2NdI2O2 crystal (PBE-GGA, the Alexandria database).

Output
- SG: I4/mmm (139)
- Energy relative to the elements, uncorrected: -2.156 eV per atom

The structure in POSCAR format:
```
Ba2NdI2O2
1.0
-3.329 -0.526 -3.314
1.913 -4.134 -1.265
-4.652 -2.008 8.363
Ba Nd I O
2 1 2 2
direct
0.401 0.401 0.803
0.599 0.599 0.197
0.000 0.000 0.000
0.182 0.182 0.364
0.818 0.818 0.636
0.000 0.500 0.000
0.500 0.000 0.000
```